Record 1
Density functional theory data (PBE) for a relaxed structure of ThMnSn2.

- ΔE_f (eV/atom) = -0.198
- volume (Å³ per atom) = 24.565
- DOS(E_F) (states/eV per cell) = 6.17

abc: 4.5617 4.5617 16.3579
angles: 90.00 90.00 120.00
Space group R-3m (No. 166, hexagonal axes)
One atom of each set of equivalent atoms:
Th  0.0000  0.0000  0.0000
Mn  0.0000  0.0000  0.5000
Sn  0.0000  0.0000  0.2238

Record 2
Density functional theory data (PBE) for a relaxed structure of CrAs2Ir.

- ΔE_f (eV/atom) = 0.229
- volume (Å³ per atom) = 16.258
- energy above the most stable polymorph in this dataset (eV per formula unit) = 1.08
- DOS(E_F) (states/eV per cell) = 3.31

abc: 2.906 3.881 5.766
angles: 90.00 90.07 90.00
Space group P2/m (No. 10)
One atom of each set of equivalent atoms:
Cr  0.000  0.000  0.000
As  0.495  0.500  0.766
Ir  0.500  0.000  0.500

Record 3
Density functional theory data (PBE) for a relaxed structure of Pm2Ga2Fe2C.

- ΔE_f (eV/atom) = -0.401
- volume (Å³ per atom) = 17.655
- DOS(E_F) (states/eV per cell) = 9.15

abc: 11.040 4.065 7.167
angles: 90.00 129.79 90.00
Space group C2/m (No. 12)
One atom of each set of equivalent atoms:
Pm  0.056  0.000  0.287
Ga  0.168  0.500  0.725
Fe  0.191  0.500  0.086
C  0.000  0.500  0.000

Record 4
Density functional theory data (PBE) for a relaxed structure of Ho2CdFe.

- ΔE_f (eV/atom) = -0.014
- volume (Å³ per atom) = 22.610
- energy above the most stable polymorph in this dataset (eV per formula unit) = 0.42
- DOS(E_F) (states/eV per cell) = 30.12

abc: 7.125 7.125 7.125
angles: 90.00 90.00 90.00
Space group Fm-3m (No. 225)
One atom of each set of equivalent atoms:
Ho  0.250  0.250  0.250
Cd  0.000  0.000  0.000
Fe  0.000  0.000  0.500

Record 5
Density functional theory data (PBE) for a relaxed structure of Ag2Sb.

- volume (Å³ per atom) = 21.498
- energy above the most stable polymorph in this dataset (eV per formula unit) = 0.16
- formation energy (no corrections) (eV/atom) = 0.120
- DOS(E_F) (states/eV per cell) = 2.42

abc: 8.1399 8.1399 3.3719
angles: 90.00 90.00 120.00
Space group P-62m (No. 189)
One atom of each set of equivalent atoms:
Ag  0.0000  0.2998  0.0000
Ag  0.0000  0.6366  0.5000
Sb  0.0000  0.0000  0.5000
Sb  0.3333  0.6667  0.0000

Record 6
Density functional theory data (PBE) for a relaxed structure of NdY3Ho2Bi6.

- ΔE_f (eV/atom) = -0.883
- volume (Å³ per atom) = 32.170
- DOS(E_F) (states/eV per cell) = 4.43

abc: 7.791 13.499 7.787
angles: 90.00 109.49 90.00
Space group C2/m (No. 12)
One atom of each set of equivalent atoms:
Nd  0.000  0.000  0.000
Y  0.000  0.164  0.500
Y  0.000  0.500  0.500
Ho  0.000  0.332  0.000
Bi  0.244  0.500  0.250
Bi  0.246  0.331  0.748

Record 7
Density functional theory data (PBE) for a relaxed structure of AsCl4.

- volume (Å³ per atom) = 32.884
- energy above the most stable polymorph in this dataset (eV per formula unit) = 2.08
- formation energy (no corrections) (eV/atom) = -0.080
- DOS(E_F) (states/eV per cell) = 3.15

abc: 9.915 9.915 3.345
angles: 90.00 90.00 90.00
Space group I4/m (No. 87)
One atom of each set of equivalent atoms:
As  0.000  0.000  0.000
Cl  0.051  0.205  0.500

Record 8
Density functional theory data (PBE) for a relaxed structure of Sm4Al2TlHg.

- ΔE_f (eV/atom) = -0.372
- volume (Å³ per atom) = 26.811
- DOS(E_F) (states/eV per cell) = 21.26

abc: 5.3323 5.3323 26.1316
angles: 90.00 90.00 120.00
Space group R-3m (No. 166, hexagonal axes)
One atom of each set of equivalent atoms:
Sm  0.0000  0.0000  0.1232
Sm  0.0000  0.0000  0.3732
Al  0.0000  0.0000  0.2501
Tl  0.0000  0.0000  0.5000
Hg  0.0000  0.0000  0.0000